Below is a crystal of La2Pb relaxed with PBEsol, with properties calculated at the SCAN level.

calculated formation energy	-71	kJ/mol of atoms
total magnetic moment	3.4	μB/cell

Lattice parameters (Å, degrees): 5.6416 5.6416 6.8225 90.00 90.00 120.00
Closest atoms and distances in Å follow each position.
Positions (direct):
La  0.0000  0.0000  0.0000  8 La 3.41-3.68, 6 Pb 3.68
La  0.0000  0.0000  0.5000  8 La 3.41-3.68, 6 Pb 3.68
La  0.3333  0.6667  0.2500  5 Pb 3.26-3.41
La  0.6667  0.3333  0.7500  5 Pb 3.26-3.41
Pb  0.3333  0.6667  0.7500  5 La 3.26-3.41
Pb  0.6667  0.3333  0.2500  5 La 3.26-3.41